#one
Here is a relaxed AgAs2O crystal from Alexandria via LeMat-Bulk. Energies are from PBE.

POSCAR file:
```
AgAs2O
1.0
-2.5231 0.1415 3.9371
2.3664 -3.6835 1.6489
4.5684 2.4790 5.6181
As O Ag
4 2 2
Cartesian
0.1541 0.2313 3.6140 As
2.0126 -1.6483 3.3846 As
3.6424 0.1031 6.4999 As
3.0143 -0.8121 8.9098 As
-0.0784 -1.7710 2.7930 O
3.4282 -1.4877 5.0300 O
0.0000 0.0000 0.0000 Ag
0.9835 0.4248 6.1741 Ag
```

* Fermi-level density of states: 2.0 states/eV/f.u.
* SG: No. 122



#two
Here is a relaxed AgAs2O crystal from Alexandria via LeMat-Bulk. Energies are from PBE.

POSCAR file:
```
AgAs2O
1.0
-0.5408 -4.4159 0.0961
-2.9106 -1.9455 -2.7468
1.4591 -2.4945 -3.3838
As O Ag
2 1 1
Cartesian
-0.4981 -2.2140 -1.5086 As
-1.4942 -6.6419 -4.5259 As
0.0000 0.0000 0.0000 O
-0.9962 -4.4279 -3.0173 Ag
```

* Fermi-level density of states: 4.0 states/eV/f.u.
* SG: No. 225



What should be chosen as the least stable of them? Choose #two.



#one
Here is a relaxed Ag2AsO4 crystal from Alexandria via LeMat-Bulk. Energies are from PBE.

POSCAR file:
```
Ag2AsO4
1.0
-3.5779 -4.0605 -2.6169
4.6734 -2.0852 -3.1542
0.0805 1.0630 5.1451
Ag As O
2 1 4
Cartesian
2.3367 -1.0426 -1.5771 Ag
-1.7890 -2.0303 -1.3084 Ag
0.0000 0.0000 0.0000 As
1.0715 -5.5968 -4.1209 O
0.3678 -1.6488 -0.4136 O
-2.1939 -2.0944 1.8139 O
3.1067 -0.8254 1.4687 O
```

* Fermi-level density of states: 5.4 states/eV/f.u.
* SG: No. 121



#two
Here is a relaxed Ag2AsO4 crystal from Alexandria via LeMat-Bulk. Energies are from PBE.

POSCAR file:
```
Ag2AsO4
1.0
2.9573 0.0000 0.0000
0.0000 6.0657 -0.4655
-1.4786 -3.4151 5.1477
Ag As O
2 1 4
Cartesian
1.4786 3.1020 1.1065 Ag
0.0000 -0.4514 3.5757 Ag
0.0000 0.0000 0.0000 As
1.4786 -2.2590 3.7578 O
0.0000 4.9096 0.9244 O
1.4786 0.9246 0.8693 O
0.0000 1.7260 3.8129 O
```

* Fermi-level density of states: 4.5 states/eV/f.u.
* SG: No. 12



What should be chosen as the least stable of them? Choose #two.



#one
Here is a relaxed AgAsPO2 crystal from Alexandria via LeMat-Bulk. Energies are from PBE.

POSCAR file:
```
AgAsPO2
1.0
3.9862 0.0000 0.0000
0.0000 3.9862 0.0000
0.0000 0.0000 4.9266
P As O Ag
1 1 2 1
Cartesian
0.0000 0.0000 2.4633 P
1.9931 1.9931 2.4633 As
0.0000 1.9931 0.0000 O
1.9931 0.0000 0.0000 O
0.0000 0.0000 0.0000 Ag
```

* Fermi-level density of states: 2.9 states/eV/f.u.
* SG: No. 123



#two
Here is a relaxed AgAsPO2 crystal from Alexandria via LeMat-Bulk. Energies are from PBE.

POSCAR file:
```
AgAsPO2
1.0
3.6912 0.0000 0.0000
0.0000 3.6912 0.0000
0.0000 0.0000 5.2229
P As O Ag
1 1 2 1
Cartesian
0.0000 0.0000 2.6114 P
0.0000 0.0000 0.0000 As
0.0000 1.8456 0.0000 O
1.8456 0.0000 0.0000 O
1.8456 1.8456 2.6114 Ag
```

* Fermi-level density of states: 1.6 states/eV/f.u.
* SG: No. 123



What should be chosen as the least stable of them? Choose #one.



#one
Here is a relaxed AgAsSe2O crystal from Alexandria via LeMat-Bulk. Energies are from PBE.

POSCAR file:
```
AgAsSe2O
1.0
4.6452 0.0000 0.0000
0.0000 4.6452 0.0000
0.0000 0.0000 4.3064
O As Se Ag
1 1 2 1
Cartesian
0.0000 0.0000 0.0000 O
0.0000 0.0000 2.1532 As
0.0000 2.3226 0.0000 Se
2.3226 0.0000 0.0000 Se
2.3226 2.3226 2.1532 Ag
```

* Fermi-level density of states: 4.6 states/eV/f.u.
* SG: No. 123



#two
Here is a relaxed AgAsSe2O crystal from Alexandria via LeMat-Bulk. Energies are from PBE.

POSCAR file:
```
AgAsSe2O
1.0
4.9840 0.0000 0.0000
0.0000 4.9840 0.0000
0.0000 0.0000 5.0725
O As Se Ag
1 1 2 1
Cartesian
2.4920 2.4920 2.5363 O
0.0000 0.0000 2.5363 As
0.0000 2.4920 0.0000 Se
2.4920 0.0000 0.0000 Se
0.0000 0.0000 0.0000 Ag
```

* Fermi-level density of states: 11.9 states/eV/f.u.
* SG: No. 123



What should be chosen as the least stable of them? Choose #two.



#one
Here is a relaxed AgAs2SeO crystal from Alexandria via LeMat-Bulk. Energies are from PBE.

POSCAR file:
```
AgAs2SeO
1.0
5.2074 0.0000 0.0000
0.0000 3.6430 0.0000
0.0000 0.0000 5.2074
O As Se Ag
1 2 1 1
Cartesian
0.0000 1.8215 0.0000 O
0.0000 0.0000 2.6037 As
2.6037 0.0000 0.0000 As
0.0000 0.0000 0.0000 Se
2.6037 1.8215 2.6037 Ag
```

* Fermi-level density of states: 1.6 states/eV/f.u.
* SG: No. 123



#two
Here is a relaxed AgAs2SeO crystal from Alexandria via LeMat-Bulk. Energies are from PBE.

POSCAR file:
```
AgAs2SeO
1.0
-0.5968 -1.8632 4.6031
4.4195 -2.4863 -0.4334
2.4074 3.9464 1.9095
O As Se Ag
1 2 1 1
Cartesian
3.1151 -0.2015 3.0396 O
1.2037 1.9732 0.9548 As
-0.2984 -0.9316 2.3016 As
2.2097 -1.2432 -0.2167 Se
0.0000 0.0000 0.0000 Ag
```

* Fermi-level density of states: 5.4 states/eV/f.u.
* SG: No. 123



What should be chosen as the least stable of them? Choose #two.



#one
Here is a relaxed AgAsP crystal from Alexandria via LeMat-Bulk. Energies are from PBE.

POSCAR file:
```
AgAsP
1.0
0.4894 3.2079 -7.7819
-1.9117 4.2339 7.0362
3.1362 0.6458 0.4635
Ag As P
3 3 3
Cartesian
-1.3890 3.2438 4.8792 Ag
0.2859 2.5280 -5.4576 Ag
-0.2509 1.3128 -0.1315 Ag
0.2911 7.0047 -0.4378 As
-1.0622 3.9634 1.6649 As
-0.3986 3.6799 -2.4308 As
0.5794 3.0663 3.0995 P
1.5908 2.6341 -3.1425 P
0.9368 3.6261 -0.0993 P
```

* Fermi-level density of states: 1.1 states/eV/f.u.
* SG: No. 38



#two
Here is a relaxed AgAsP crystal from Alexandria via LeMat-Bulk. Energies are from PBE.

POSCAR file:
```
AgAsP
1.0
-2.5934 -1.4831 -3.2619
1.7074 -2.5155 -3.2128
-1.0287 -4.2960 -0.2280
Ag As P
1 1 1
Cartesian
0.0000 0.0000 0.0000 Ag
-0.9573 -4.1473 -3.3513 As
-1.4360 -6.2209 -5.0270 P
```

* Fermi-level density of states: 1.3 states/eV/f.u.
* SG: No. 216



What should be chosen as the least stable of them? Choose #two.



#one
Here is a relaxed AgAs3P crystal from Alexandria via LeMat-Bulk. Energies are from PBE.

POSCAR file:
```
AgAs3P
1.0
4.9558 0.0000 0.0000
0.0000 4.9558 0.0000
0.0000 0.0000 4.9558
P As Ag
1 3 1
Cartesian
2.4779 2.4779 2.4779 P
0.0000 2.4779 0.0000 As
0.0000 0.0000 2.4779 As
2.4779 0.0000 0.0000 As
0.0000 0.0000 0.0000 Ag
```

* Fermi-level density of states: 6.0 states/eV/f.u.
* SG: No. 221



#two
Here is a relaxed AgAs3P crystal from Alexandria via LeMat-Bulk. Energies are from PBE.

POSCAR file:
```
AgAs3P
1.0
4.7798 0.0000 0.0000
0.0000 4.7798 0.0000
0.0000 0.0000 4.7798
P As Ag
1 3 1
Cartesian
0.0000 0.0000 0.0000 P
0.0000 2.3899 0.0000 As
0.0000 0.0000 2.3899 As
2.3899 0.0000 0.0000 As
2.3899 2.3899 2.3899 Ag
```

* Fermi-level density of states: 4.4 states/eV/f.u.
* SG: No. 221



What should be chosen as the least stable of them? Choose #one.



#one
Here is a relaxed AgAs2PSe crystal from Alexandria via LeMat-Bulk. Energies are from PBE.

POSCAR file:
```
AgAs2PSe
1.0
-1.0971 -1.5722 -4.5664
1.4359 -4.5772 1.2310
-4.6900 -1.0692 1.4949
P As Se Ag
1 2 1 1
Cartesian
-2.1756 -3.6093 -0.9203 P
0.7179 -2.2886 0.6155 As
-0.5485 -0.7861 -2.2832 As
-2.3450 -0.5346 0.7475 Se
0.0000 0.0000 0.0000 Ag
```

* Fermi-level density of states: 6.3 states/eV/f.u.
* SG: No. 123



#two
Here is a relaxed AgAs2PSe crystal from Alexandria via LeMat-Bulk. Energies are from PBE.

POSCAR file:
```
AgAs2PSe
1.0
-0.9374 -4.6356 -0.0430
4.6084 -0.9270 -0.5222
0.5324 -0.1537 4.9712
P As Se Ag
1 2 1 1
Cartesian
0.0000 0.0000 0.0000 P
2.3042 -0.4635 -0.2611 As
-0.4687 -2.3178 -0.0215 As
0.2662 -0.0769 2.4856 Se
2.1017 -2.8582 2.2030 Ag
```

* Fermi-level density of states: 4.7 states/eV/f.u.
* SG: No. 123



What should be chosen as the least stable of them? Choose #one.